(1)
VASP calculation (PBE) on crystalline YTc at its relaxed geometry.

Computed properties:
ρ: 6.367 Mg/m³
spin magnetization: 0.0000 μB per atom
crystal system: trigonal
volume: 292 Å³ per cell
density of states at the Fermi level: 8.0 states/eV per cell
uncorrected energy: -8.444 eV/atom

a = 4.2031 Å, b = 4.2031 Å, c = 19.1177 Å
α = 90.00°, β = 90.00°, γ = 120.00°
Space group R-3m (No. 166, hexagonal axes)
Inequivalent atoms, fractional coordinates:
1 Y 0.0000 0.0000 0.0976 x6
2 Tc 0.0000 0.0000 0.3177 x6


(2)
VASP calculation (PBE) on crystalline YTc3 at its relaxed geometry.

Computed properties:
excess energy over the best structure of this formula in the dataset: 1215 kJ/mol of formula units
ρ: 4.565 Mg/m³
spin magnetization: 2.1571 μB per atom
crystal system: cubic
volume: 139 Å³ per cell
density of states at the Fermi level: 7.2 states/eV per cell

a = 5.184 Å, b = 5.184 Å, c = 5.184 Å
α = 90.00°, β = 90.00°, γ = 90.00°
Space group Pm-3m (No. 221)
Inequivalent atoms, fractional coordinates:
1 Y 0.000 0.000 0.000 x1
2 Tc 0.000 0.000 0.500 x3


(3)
VASP calculation (PBE) on crystalline YTc2 at its relaxed geometry.

Computed properties:
excess energy over the best structure of this formula in the dataset: 132 kJ/mol of formula units
ρ: 7.430 Mg/m³
spin magnetization: 0.0000 μB per atom
crystal system: tetragonal
volume: 64 Å³ per cell
density of states at the Fermi level: 2.0 states/eV per cell

a = 3.569 Å, b = 3.569 Å, c = 4.999 Å
α = 90.00°, β = 90.00°, γ = 90.00°
Space group P4/mmm (No. 123)
Inequivalent atoms, fractional coordinates:
1 Y 0.000 0.000 0.000 x1
2 Tc 0.000 0.500 0.500 x2